CuTc2Cl: relaxed, PBE-GGA.

a = 3.0881 Å, b = 4.3754 Å, c = 4.8156 Å
α = 90.00°, β = 97.12°, γ = 90.00°
Positions (direct):
Cu 0.0000 0.0000 0.0000
Tc 0.3323 0.5000 0.2001
Tc 0.6677 0.5000 0.7999
Cl 0.5000 0.0000 0.5000

## Properties
Space group: No. 10
Spin magnetization: 0.0 μB per formula unit
Crystal system: monoclinic
Formation energy without anion corrections: 0.6812 eV/atom
Energy relative to the lowest polymorph listed for this composition: 0.506 eV/atom